No. 1
The following is a PBE calculation of an optimized crystal structure of Tl2CrCoHg, from Alexandria.

## Properties
E in eV/cell: -18.4
ΔH_f (0 K) in eV/atom: 0.666

abc: 5.0018 5.0687 5.0018
angles: 90.00 90.00 90.00
Each line ends with the local moment (μB).
Sites, in units of the cell vectors:
Tl  0.0000  0.0000  0.5000  -0.03
Tl  0.5000  0.0000  0.0000  -0.01
Co  0.0000  0.0000  0.0000  0.55
Cr  0.5000  0.5000  0.5000  4.25
Hg  0.0000  0.5000  0.0000  -0.02

---

No. 2
The following is a PBE calculation of an optimized crystal structure of Ho2Cr2Co15, from Alexandria.

## Properties
E in eV/cell: -136.4
ΔH_f (0 K) in eV/atom: -0.077

abc: 6.2589 6.2589 6.2589
angles: 82.94 82.94 82.94
Each line ends with the local moment (μB).
Sites, in units of the cell vectors:
Cr  0.0857  0.0857  0.0857  -0.29
Cr  0.9143  0.9143  0.9143  -0.29
Ho  0.3444  0.3444  0.3444  -0.34
Ho  0.6556  0.6556  0.6556  -0.34
Co  0.7040  0.0000  0.2960  1.52
Co  0.6556  0.6556  0.1512  1.41
Co  0.3444  0.3444  0.8488  1.41
Co  0.5000  0.0000  0.0000  1.40
Co  0.0000  0.0000  0.5000  1.40
Co  0.7040  0.2960  0.0000  1.52
Co  0.0000  0.2960  0.7040  1.52
Co  0.0000  0.5000  0.0000  1.40
Co  0.3444  0.8488  0.3444  1.41
Co  0.2960  0.0000  0.7040  1.52
Co  0.0000  0.7040  0.2960  1.52
Co  0.2960  0.7040  0.0000  1.52
Co  0.8488  0.3444  0.3444  1.41
Co  0.6556  0.1512  0.6556  1.41
Co  0.1512  0.6556  0.6556  1.41

---

No. 3
The following is a PBE calculation of an optimized crystal structure of CrCoI2, from Alexandria.

## Properties
E_form (uncorrected) in kJ per mole of atoms: 46
E in eV/cell: -35.9
Energy above the most stable polymorph in this dataset in meV/atom: 0.0

abc: 6.1297 6.1297 7.3667
angles: 65.42 65.42 90.00
Each line ends with the local moment (μB).
Sites, in units of the cell vectors:
Co  0.7500  0.2500  0.5000  0.23
Co  0.0000  0.0000  0.0000  0.22
Cr  0.5000  0.5000  0.0000  3.96
Cr  0.2500  0.7500  0.5000  3.95
I  0.8750  0.9101  0.7500  -0.03
I  0.3750  0.3399  0.7500  -0.03
I  0.0899  0.6250  0.2500  -0.03
I  0.6601  0.1250  0.2500  -0.03

---

No. 4
The following is a PBE calculation of an optimized crystal structure of CrCoI2, from Alexandria.

## Properties
E_form (uncorrected) in kJ per mole of atoms: 74
E in eV/cell: -16.8
Energy above the most stable polymorph in this dataset in meV/atom: 297.0

abc: 5.0394 5.0394 5.0394
angles: 60.00 60.00 60.00
Each line ends with the local moment (μB).
Sites, in units of the cell vectors:
Co  0.5000  0.5000  0.5000  -1.65
Cr  0.0000  0.0000  0.0000  3.98
I  0.2500  0.2500  0.2500  -0.08
I  0.7500  0.7500  0.7500  -0.08

---

No. 5
The following is a PBE calculation of an optimized crystal structure of CrCoI2N, from Alexandria.

## Properties
E_form (uncorrected) in kJ per mole of atoms: 61
E in eV/cell: -25.0
Energy above the most stable polymorph in this dataset in meV/atom: 0.0

abc: 5.5327 5.5327 3.6047
angles: 90.00 90.00 90.00
Each line ends with the local moment (μB).
Sites, in units of the cell vectors:
N  0.0000  0.0000  0.5000  -0.39
Co  0.5000  0.5000  0.5000  2.08
I  0.5000  0.0000  0.0000  0.03
I  0.0000  0.5000  0.0000  0.03
Cr  0.0000  0.0000  0.0000  2.41

---

No. 6
The following is a PBE calculation of an optimized crystal structure of CrCoI2N, from Alexandria.

## Properties
E_form (uncorrected) in kJ per mole of atoms: 100
E in eV/cell: -23.0
Energy above the most stable polymorph in this dataset in meV/atom: 401.8

abc: 5.3220 5.3220 3.4418
angles: 90.00 90.00 90.00
Each line ends with the local moment (μB).
Sites, in units of the cell vectors:
N  0.0000  0.0000  0.5000  -0.04
I  0.0000  0.5000  0.0000  0.00
I  0.5000  0.0000  0.0000  0.00
Co  0.0000  0.0000  0.0000  -0.03
Cr  0.5000  0.5000  0.5000  0.17

---

No. 7
The following is a PBE calculation of an optimized crystal structure of Na2CrCoI, from Alexandria.

## Properties
E_form (uncorrected) in kJ per mole of atoms: 99
E in eV/cell: -15.8

abc: 6.0096 5.1454 6.0096
angles: 90.00 90.00 90.00
Each line ends with the local moment (μB).
Sites, in units of the cell vectors:
Cr  0.0000  0.0000  0.0000  3.90
Na  0.5000  0.0000  0.0000  0.00
Na  0.0000  0.0000  0.5000  -0.01
I  0.0000  0.5000  0.0000  -0.01
Co  0.5000  0.5000  0.5000  2.21

---

Which of these has the lowest E?
Ho2Cr2Co15

---

E of number 5 (CrCoI2N)?
-25.0 eV/cell